# 1
Material: Ce2SmCr2N6
Method: DFT, GGA-PBE
State: relaxed

```
Ce2SmCr2N6
1.0
2.763 1.595 6.181
-2.763 1.595 6.181
0.000 -3.190 6.181
Ce Sm Cr N
2 1 2 6
Direct
0.205 0.205 0.205
0.795 0.795 0.795
0.000 0.000 0.000
0.404 0.404 0.404
0.596 0.596 0.596
0.231 0.734 0.734
0.266 0.266 0.769
0.266 0.769 0.266
0.734 0.231 0.734
0.734 0.734 0.231
0.769 0.266 0.266
```

Computed properties:
Energy (eV/cell): -94.87
Spin magnetization (μB/f.u.): 1.4

# 2
Material: Ce2CrSnN5
Method: DFT, GGA-PBE
State: relaxed

```
Ce2CrSnN5
1.0
1.695 -6.754 0.000
1.695 6.754 0.000
0.000 0.000 10.134
Ce Cr Sn N
4 2 2 10
Direct
0.105 0.895 0.500
0.143 0.857 0.112
0.857 0.143 0.612
0.895 0.105 0.000
0.479 0.521 0.267
0.521 0.479 0.767
0.210 0.790 0.821
0.790 0.210 0.321
0.045 0.955 0.846
0.281 0.719 0.477
0.324 0.676 0.187
0.373 0.627 0.814
0.489 0.511 0.591
0.511 0.489 0.091
0.627 0.373 0.314
0.676 0.324 0.687
0.719 0.281 0.977
0.955 0.045 0.346
```

Computed properties:
Energy (eV/cell): -147.05
Spin magnetization (μB/f.u.): 3.1

# 3
Material: Sr4Ce3CrN8
Method: DFT, GGA-PBE
State: relaxed

```
Sr4Ce3CrN8
1.0
6.172 -3.520 0.000
6.172 3.520 0.000
-4.049 0.000 5.943
Sr Ce Cr N
4 3 1 8
Direct
0.000 0.000 0.000
0.000 0.500 0.000
0.500 0.000 0.000
0.500 0.500 0.000
0.000 0.000 0.500
0.000 0.500 0.500
0.500 0.000 0.500
0.500 0.500 0.500
0.236 0.236 0.708
0.257 0.722 0.699
0.261 0.261 0.287
0.278 0.743 0.301
0.722 0.257 0.699
0.739 0.739 0.713
0.743 0.278 0.301
0.764 0.764 0.292
```

Computed properties:
Energy (eV/cell): -115.20
Spin magnetization (μB/f.u.): 2.0

# 4
Material: SrCe2CrN4
Method: DFT, GGA-PBE
State: relaxed

```
SrCe2CrN4
1.0
1.762 -5.995 0.000
1.762 5.995 0.000
0.000 0.000 12.038
Sr Ce Cr N
2 4 2 8
Direct
0.093 0.907 0.750
0.907 0.093 0.250
0.368 0.632 0.547
0.368 0.632 0.953
0.632 0.368 0.047
0.632 0.368 0.453
0.174 0.826 0.250
0.826 0.174 0.750
0.000 0.000 0.000
0.000 0.000 0.500
0.257 0.743 0.122
0.257 0.743 0.378
0.405 0.595 0.750
0.595 0.405 0.250
0.743 0.257 0.622
0.743 0.257 0.878
```

Computed properties:
Energy (eV/cell): -130.51
Spin magnetization (μB/f.u.): 3.0

# 5
Material: SrCeCrN3
Method: DFT, GGA-PBE
State: relaxed

```
SrCeCrN3
1.0
6.688 -1.885 0.000
6.688 1.885 0.000
-1.914 0.000 6.903
Sr Ce Cr N
2 2 2 6
Direct
0.142 0.142 0.072
0.858 0.858 0.928
0.153 0.153 0.578
0.847 0.847 0.422
0.500 0.500 0.294
0.500 0.500 0.706
0.003 0.003 0.285
0.339 0.339 0.641
0.349 0.349 0.204
0.651 0.651 0.796
0.661 0.661 0.359
0.997 0.997 0.715
```

Computed properties:
Energy (eV/cell): -95.89
Spin magnetization (μB/f.u.): 1.6

# 6
Material: CeTa2CrN4
Method: DFT, GGA-PBE
State: relaxed

```
CeTa2CrN4
1.0
1.550 -5.493 0.000
1.550 5.493 0.000
0.000 0.000 10.923
Ce Ta Cr N
2 4 2 8
Direct
0.106 0.894 0.750
0.894 0.106 0.250
0.368 0.632 0.555
0.368 0.632 0.945
0.632 0.368 0.055
0.632 0.368 0.445
0.159 0.841 0.250
0.841 0.159 0.750
0.000 0.000 0.000
0.000 0.000 0.500
0.271 0.729 0.111
0.271 0.729 0.389
0.447 0.553 0.750
0.553 0.447 0.250
0.729 0.271 0.611
0.729 0.271 0.889
```

Computed properties:
Energy (eV/cell): -162.28
Spin magnetization (μB/f.u.): 0.0

Number 1: formation energy without anion corrections -826.0 meV per atom. Number 2: formation energy without anion corrections -711.5 meV per atom. Number 3: formation energy without anion corrections -902.9 meV per atom. Number 4: formation energy without anion corrections -1097.7 meV per atom. Number 5: formation energy without anion corrections -954.9 meV per atom. Number 6: formation energy without anion corrections -1072.0 meV per atom.